[1]
DFT (GGA-PBE) results for a geometry-optimized Ac2PdCl2 structure. Values from VASP.

Structure (Quantum ESPRESSO input):
```
&SYSTEM
  ibrav = 0, nat = 5, ntyp = 3
/
ATOMIC_SPECIES
Ac 227.00 Ac.upf
Pd 106.42 Pd.upf
Cl 35.45 Cl.upf
CELL_PARAMETERS angstrom
2.188 1.263 10.634
-2.188 1.263 10.634
0.000 -2.526 10.634
ATOMIC_POSITIONS angstrom
Ac 0.000 0.000 3.528
Ac 0.000 0.000 28.375
Pd 0.000 0.000 15.952
Cl 0.000 0.000 8.912
Cl 0.000 0.000 22.992
```

## Properties
For the density of states at the Fermi level, the calculation gives 0.58 states/eV/f.u. The value obtained for the energy relative to the elements, uncorrected is -1.572 eV/atom. The value obtained for the mass density is 5.94 g cm⁻³. As for the total magnetic moment: 0.00 μB per formula unit.

[2]
DFT (GGA-PBE) results for a geometry-optimized Ac6Pd5Cl structure. Values from VASP.

Structure (Quantum ESPRESSO input):
```
&SYSTEM
  ibrav = 0, nat = 12, ntyp = 3
/
ATOMIC_SPECIES
Ac 227.00 Ac.upf
Pd 106.42 Pd.upf
Cl 35.45 Cl.upf
CELL_PARAMETERS angstrom
3.854 -6.664 0.000
3.854 6.664 0.000
-2.528 0.000 7.272
ATOMIC_POSITIONS angstrom
Ac -0.038 2.336 5.380
Ac 1.168 0.000 1.861
Ac -0.038 -2.336 5.380
Ac 5.219 2.336 1.892
Ac 4.014 0.000 5.411
Ac 5.219 -2.336 1.892
Pd -1.264 0.000 3.636
Pd 3.854 4.436 0.000
Pd 2.591 2.118 3.636
Pd 2.591 -2.118 3.636
Pd 3.854 -4.436 0.000
Cl 3.854 0.000 0.000
```

## Properties
For the density of states at the Fermi level, the calculation gives 6.51 states/eV/f.u. The value obtained for the energy relative to the elements, uncorrected is -0.937 eV/atom. The value obtained for the mass density is 8.58 g cm⁻³. As for the total magnetic moment: 0.00 μB per formula unit.

[3]
DFT (GGA-PBE) results for a geometry-optimized AcPdCl structure. Values from VASP.

Structure (Quantum ESPRESSO input):
```
&SYSTEM
  ibrav = 0, nat = 6, ntyp = 3
/
ATOMIC_SPECIES
Ac 227.00 Ac.upf
Pd 106.42 Pd.upf
Cl 35.45 Cl.upf
CELL_PARAMETERS angstrom
3.908 -2.259 0.000
3.908 2.259 0.000
-0.427 0.000 10.769
ATOMIC_POSITIONS angstrom
Ac 0.000 0.000 2.029
Ac 7.389 0.000 8.741
Pd 2.605 0.000 0.352
Pd 4.784 0.000 10.417
Cl 2.180 0.000 7.047
Cl 5.209 0.000 3.723
```

## Properties
The value obtained for the energy relative to the elements, uncorrected is -1.483 eV/atom. The value obtained for the mass density is 6.44 g cm⁻³. As for the total magnetic moment: 0.00 μB per formula unit.

[4]
DFT (GGA-PBE) results for a geometry-optimized Ac3PdPtCl structure. Values from VASP.

Structure (Quantum ESPRESSO input):
```
&SYSTEM
  ibrav = 0, nat = 12, ntyp = 4
/
ATOMIC_SPECIES
Ac 227.00 Ac.upf
Pd 106.42 Pd.upf
Pt 195.08 Pt.upf
Cl 35.45 Cl.upf
CELL_PARAMETERS angstrom
8.706 0.000 0.000
0.000 4.408 0.000
-2.658 0.000 9.837
ATOMIC_POSITIONS angstrom
Ac -0.276 1.102 3.395
Ac -0.791 1.102 9.726
Ac 1.923 3.306 6.222
Ac 4.125 1.102 3.615
Ac 6.840 3.306 0.111
Ac 6.325 3.306 6.442
Pd 1.866 3.306 2.767
Pd 4.182 1.102 7.070
Pt -0.253 1.102 6.443
Pt 6.302 3.306 3.393
Cl 1.058 3.306 8.993
Cl 4.990 1.102 0.844
```

## Properties
For the density of states at the Fermi level, the calculation gives 3.57 states/eV/f.u. The value obtained for the energy relative to the elements, uncorrected is -1.066 eV/atom. The value obtained for the mass density is 8.96 g cm⁻³. As for the total magnetic moment: 0.00 μB per formula unit.

[5]
DFT (GGA-PBE) results for a geometry-optimized Ac8PdRh3Cl4 structure. Values from VASP.

Structure (Quantum ESPRESSO input):
```
&SYSTEM
  ibrav = 0, nat = 16, ntyp = 4
/
ATOMIC_SPECIES
Ac 227.00 Ac.upf
Pd 106.42 Pd.upf
Rh 102.91 Rh.upf
Cl 35.45 Cl.upf
CELL_PARAMETERS angstrom
7.523 -4.344 0.000
7.523 4.344 0.000
-5.028 0.000 8.003
ATOMIC_POSITIONS angstrom
Ac 3.732 2.214 5.633
Ac -0.006 0.000 5.630
Ac 2.452 0.000 2.371
Ac 6.286 2.214 2.370
Ac 3.732 -2.214 5.633
Ac 7.565 0.000 5.633
Ac 10.023 0.000 2.373
Ac 6.286 -2.214 2.370
Pd 5.009 0.000 4.002
Rh -2.514 0.000 4.002
Rh 1.247 2.172 4.002
Rh 1.247 -2.172 4.002
Cl 0.000 0.000 0.000
Cl 3.761 2.172 0.000
Cl 3.761 -2.172 0.000
Cl 7.523 0.000 0.000
```

## Properties
For the density of states at the Fermi level, the calculation gives 7.72 states/eV/f.u. The value obtained for the energy relative to the elements, uncorrected is -1.242 eV/atom. The value obtained for the mass density is 7.53 g cm⁻³. As for the total magnetic moment: 0.00 μB per formula unit.

[6]
DFT (GGA-PBE) results for a geometry-optimized Ac6PdRh2Cl3 structure. Values from VASP.

Structure (Quantum ESPRESSO input):
```
&SYSTEM
  ibrav = 0, nat = 12, ntyp = 4
/
ATOMIC_SPECIES
Ac 227.00 Ac.upf
Pd 106.42 Pd.upf
Rh 102.91 Rh.upf
Cl 35.45 Cl.upf
CELL_PARAMETERS angstrom
10.212 -2.173 0.000
10.212 2.173 0.000
-3.183 0.000 8.891
ATOMIC_POSITIONS angstrom
Ac -0.471 0.000 2.052
Ac 5.160 0.000 3.945
Ac 4.128 0.000 7.877
Ac 13.113 0.000 1.014
Ac 12.081 0.000 4.945
Ac 17.711 0.000 6.839
Pd 10.212 0.000 0.000
Rh 2.337 0.000 2.958
Rh 14.903 0.000 5.933
Cl 0.768 0.000 7.442
Cl 8.620 0.000 4.445
Cl 16.473 0.000 1.449
```

## Properties
For the density of states at the Fermi level, the calculation gives 5.52 states/eV/f.u. The value obtained for the energy relative to the elements, uncorrected is -1.236 eV/atom. The value obtained for the mass density is 7.49 g cm⁻³. As for the total magnetic moment: 0.00 μB per formula unit.

[7]
DFT (GGA-PBE) results for a geometry-optimized Ac3PdRhCl structure. Values from VASP.

Structure (Quantum ESPRESSO input):
```
&SYSTEM
  ibrav = 0, nat = 12, ntyp = 4
/
ATOMIC_SPECIES
Ac 227.00 Ac.upf
Pd 106.42 Pd.upf
Rh 102.91 Rh.upf
Cl 35.45 Cl.upf
CELL_PARAMETERS angstrom
8.569 0.000 0.000
0.000 4.421 0.000
-2.406 0.000 9.748
ATOMIC_POSITIONS angstrom
Ac -0.217 1.105 3.403
Ac -0.551 1.105 9.557
Ac 1.932 3.315 6.119
Ac 4.231 1.105 3.629
Ac 6.715 3.315 0.191
Ac 6.380 3.315 6.345
Pd 1.881 3.315 2.625
Pd 4.283 1.105 7.123
Rh -0.100 1.105 6.320
Rh 6.263 3.315 3.428
Cl 1.297 3.315 8.916
Cl 4.866 1.105 0.832
```

## Properties
For the density of states at the Fermi level, the calculation gives 3.56 states/eV/f.u. The value obtained for the energy relative to the elements, uncorrected is -0.895 eV/atom. The value obtained for the mass density is 8.33 g cm⁻³. As for the total magnetic moment: 0.44 μB per formula unit.

[8]
DFT (GGA-PBE) results for a geometry-optimized Ac4PdRuCl2 structure. Values from VASP.

Structure (Quantum ESPRESSO input):
```
&SYSTEM
  ibrav = 0, nat = 8, ntyp = 4
/
ATOMIC_SPECIES
Ac 227.00 Ac.upf
Pd 106.42 Pd.upf
Ru 101.07 Ru.upf
Cl 35.45 Cl.upf
CELL_PARAMETERS angstrom
7.514 0.000 0.000
0.000 4.343 0.000
-2.466 0.000 8.025
ATOMIC_POSITIONS angstrom
Ac 1.176 0.000 1.653
Ac -0.053 2.172 6.392
Ac 5.101 2.172 1.633
Ac 3.872 0.000 6.372
Pd 3.757 0.000 0.000
Ru 0.000 2.172 0.000
Cl -1.233 0.000 4.012
Cl 2.524 2.172 4.012
```

## Properties
For the density of states at the Fermi level, the calculation gives 2.14 states/eV/f.u. The value obtained for the energy relative to the elements, uncorrected is -1.107 eV/atom. The value obtained for the mass density is 7.52 g cm⁻³. As for the total magnetic moment: 0.00 μB per formula unit.

[9]
DFT (GGA-PBE) results for a geometry-optimized Ac8PdRu3Cl4 structure. Values from VASP.

Structure (Quantum ESPRESSO input):
```
&SYSTEM
  ibrav = 0, nat = 16, ntyp = 4
/
ATOMIC_SPECIES
Ac 227.00 Ac.upf
Pd 106.42 Pd.upf
Ru 101.07 Ru.upf
Cl 35.45 Cl.upf
CELL_PARAMETERS angstrom
4.302 2.484 8.028
-4.302 2.484 8.028
0.000 -4.968 8.028
ATOMIC_POSITIONS angstrom
Ac -2.222 -1.283 13.677
Ac 0.000 0.000 5.658
Ac 0.000 -2.566 10.408
Ac -2.222 1.283 10.408
Ac 2.222 -1.283 13.677
Ac 0.000 2.566 13.677
Ac 0.000 0.000 18.426
Ac 2.222 1.283 10.408
Pd 0.000 0.000 12.042
Ru -4.302 0.000 12.042
Ru -2.151 1.242 4.014
Ru 2.151 1.242 4.014
Cl 0.000 0.000 0.000
Cl -2.151 -1.242 8.028
Cl -2.151 1.242 16.056
Cl 0.000 2.484 8.028
```

## Properties
For the density of states at the Fermi level, the calculation gives 5.13 states/eV/f.u. The value obtained for the energy relative to the elements, uncorrected is -1.027 eV/atom. The value obtained for the mass density is 7.64 g cm⁻³. As for the total magnetic moment: 0.00 μB per formula unit.

[10]
DFT (GGA-PBE) results for a geometry-optimized Ac4PdS2Cl structure. Values from VASP.

Structure (Quantum ESPRESSO input):
```
&SYSTEM
  ibrav = 0, nat = 8, ntyp = 4
/
ATOMIC_SPECIES
Ac 227.00 Ac.upf
Pd 106.42 Pd.upf
S 32.06 S.upf
Cl 35.45 Cl.upf
CELL_PARAMETERS angstrom
7.600 0.000 0.000
0.000 4.242 0.000
-2.503 0.000 7.342
ATOMIC_POSITIONS angstrom
Ac 1.244 0.000 1.720
Ac -0.047 2.121 5.509
Ac 3.853 0.000 5.622
Ac 5.144 2.121 1.833
Pd -1.251 0.000 3.671
S 0.000 2.121 0.000
S 3.800 0.000 0.000
Cl 2.548 2.121 3.671
```

## Properties
For the density of states at the Fermi level, the calculation gives 5.22 states/eV/f.u. The value obtained for the energy relative to the elements, uncorrected is -1.535 eV/atom. The value obtained for the mass density is 7.82 g cm⁻³. As for the total magnetic moment: 0.00 μB per formula unit.

[11]
DFT (GGA-PBE) results for a geometry-optimized Ac6Si2PdCl3 structure. Values from VASP.

Structure (Quantum ESPRESSO input):
```
&SYSTEM
  ibrav = 0, nat = 12, ntyp = 4
/
ATOMIC_SPECIES
Ac 227.00 Ac.upf
Si 28.09 Si.upf
Pd 106.42 Pd.upf
Cl 35.45 Cl.upf
CELL_PARAMETERS angstrom
9.615 -2.258 0.000
9.615 2.258 0.000
-1.641 0.000 8.867
ATOMIC_POSITIONS angstrom
Ac -0.365 0.000 2.132
Ac 5.640 0.000 3.767
Ac 5.099 0.000 7.983
Ac 12.490 0.000 0.884
Ac 11.949 0.000 5.100
Ac 17.954 0.000 6.735
Si 2.591 0.000 2.994
Si 14.998 0.000 5.873
Pd 9.615 0.000 0.000
Cl 1.990 0.000 7.474
Cl 8.794 0.000 4.433
Cl 15.599 0.000 1.392
```

## Properties
For the density of states at the Fermi level, the calculation gives 8.15 states/eV/f.u. The value obtained for the energy relative to the elements, uncorrected is -1.139 eV/atom. The value obtained for the mass density is 7.03 g cm⁻³. As for the total magnetic moment: 0.00 μB per formula unit.

[12]
DFT (GGA-PBE) results for a geometry-optimized Ac3TePdCl structure. Values from VASP.

Structure (Quantum ESPRESSO input):
```
&SYSTEM
  ibrav = 0, nat = 12, ntyp = 4
/
ATOMIC_SPECIES
Ac 227.00 Ac.upf
Te 127.60 Te.upf
Pd 106.42 Pd.upf
Cl 35.45 Cl.upf
CELL_PARAMETERS angstrom
9.103 0.000 0.000
0.000 4.511 0.000
-2.123 0.000 10.006
ATOMIC_POSITIONS angstrom
Ac -0.177 1.128 3.370
Ac -0.020 1.128 9.802
Ac 2.187 3.384 6.122
Ac 4.794 1.128 3.884
Ac 7.000 3.384 0.204
Ac 7.157 3.384 6.636
Te 2.359 3.384 2.529
Te 4.621 1.128 7.477
Pd 0.114 1.128 6.465
Pd 6.866 3.384 3.542
Cl 1.842 3.384 9.043
Cl 5.138 1.128 0.963
```

## Properties
For the density of states at the Fermi level, the calculation gives 4.05 states/eV/f.u. The value obtained for the energy relative to the elements, uncorrected is -1.189 eV/atom. The value obtained for the mass density is 7.68 g cm⁻³. As for the total magnetic moment: 0.00 μB per formula unit.

- Among the records above, which one has the lowest energy relative to the elements, uncorrected?
  Ac2PdCl2